[1]
The following is a DFT calculation (SCAN) of a PBEsol-optimized structure of Ta2BeZn.

Cell and atoms, written as CIF:
```
data_Ta2BeZn
_cell_length_a 4.4072
_cell_length_b 4.4072
_cell_length_c 4.4072
_cell_angle_alpha 60.00
_cell_angle_beta 60.00
_cell_angle_gamma 60.00
_space_group_name_H-M_alt 'P 1'
_space_group_IT_number 1
loop_
_space_group_symop_operation_xyz
'x,y,z'
loop_
_atom_site_label
_atom_site_fract_x
_atom_site_fract_y
_atom_site_fract_z
Be1 0.5000 0.5000 0.5000
Ta1 0.0000 0.0000 0.0000
Ta2 0.7500 0.7500 0.7500
Zn1 0.2500 0.2500 0.2500
```

Computed properties:
- Final energy: -37.296 eV per atom
- E_form: 0.463 eV/atom
- Crystal system: cubic
- Offset from the most stable computed form: 0.470 eV per atom



[2]
The following is a DFT calculation (SCAN) of a PBEsol-optimized structure of Na3CaB.

Cell and atoms, written as CIF:
```
data_Na3CaB
_cell_length_a 5.2171
_cell_length_b 5.2171
_cell_length_c 5.2171
_cell_angle_alpha 90.00
_cell_angle_beta 90.00
_cell_angle_gamma 90.00
_space_group_name_H-M_alt 'P 1'
_space_group_IT_number 1
loop_
_space_group_symop_operation_xyz
'x,y,z'
loop_
_atom_site_label
_atom_site_fract_x
_atom_site_fract_y
_atom_site_fract_z
Na1 0.0000 0.0000 0.5000
Na2 0.5000 0.0000 0.0000
Na3 0.0000 0.5000 0.0000
B1 0.0000 0.0000 0.0000
Ca1 0.5000 0.5000 0.5000
```

Computed properties:
- Final energy: -5.255 eV per atom
- E_form: 0.693 eV/atom
- Crystal system: cubic
- Offset from the most stable computed form: 0.000 eV per atom



[3]
The following is a DFT calculation (SCAN) of a PBEsol-optimized structure of HfZr2Ta.

Cell and atoms, written as CIF:
```
data_HfZr2Ta
_cell_length_a 4.8659
_cell_length_b 4.8659
_cell_length_c 4.8659
_cell_angle_alpha 60.00
_cell_angle_beta 60.00
_cell_angle_gamma 60.00
_space_group_name_H-M_alt 'P 1'
_space_group_IT_number 1
loop_
_space_group_symop_operation_xyz
'x,y,z'
loop_
_atom_site_label
_atom_site_fract_x
_atom_site_fract_y
_atom_site_fract_z
Ta1 0.5000 0.5000 0.5000
Zr1 0.7500 0.7500 0.7500
Zr2 0.2500 0.2500 0.2500
Hf1 0.0000 0.0000 0.0000
```

Computed properties:
- Final energy: -47.485 eV per atom
- E_form: 0.179 eV/atom
- Crystal system: cubic